1:
GGA-PBE Li4HgPd2, optimized geometry; total magnetization = 0.0 μB per formula unit; space-group type = I4/mmm; calculated volume = 15.62 Å³ per atom
1.0
-0.548 4.807 -0.470
-4.291 -0.267 2.268
4.530 -1.632 3.169
Li Hg Pd
4 1 2
Direct
0.750 0.250 0.500
0.000 0.500 0.000
0.500 0.000 0.000
0.250 0.750 0.500
0.000 0.000 0.000
0.650 0.650 0.300
0.350 0.350 0.700

2:
GGA-PBE Li4HgPd2, optimized geometry; total magnetization = 0.0 μB per formula unit; space-group type = P-1; calculated volume = 15.71 Å³ per atom
1.0
4.825 0.604 -0.379
-1.928 3.254 1.075
-0.625 2.046 7.131
Li Pd Hg
4 2 1
Direct
0.429 0.893 0.321
0.146 0.260 0.814
0.854 0.740 0.186
0.571 0.107 0.679
0.284 0.562 0.080
0.716 0.438 0.920
0.000 0.000 0.500

Most stable structure, least stable structure: 2, 1.

1:
GGA-PBE Li7HgPd3, optimized geometry; total magnetization = 0.0 μB per formula unit; space-group type = Cmcm; calculated volume = 16.56 Å³ per atom
1.0
-1.228 0.905 2.381
-2.956 -10.440 0.766
10.009 -2.389 6.070
Pd Li Hg
6 14 2
Direct
0.836 0.673 0.250
0.841 0.682 0.561
0.164 0.327 0.750
0.159 0.318 0.439
0.841 0.682 0.939
0.159 0.318 0.061
0.602 0.205 0.596
0.563 0.127 0.373
0.602 0.205 0.904
0.689 0.377 0.250
0.276 0.553 0.097
0.563 0.127 0.127
0.398 0.795 0.404
0.437 0.873 0.873
0.724 0.447 0.597
0.398 0.795 0.096
0.724 0.447 0.903
0.311 0.623 0.750
0.276 0.553 0.403
0.437 0.873 0.627
0.972 0.945 0.250
0.028 0.055 0.750

2:
GGA-PBE Li7HgPd3, optimized geometry; total magnetization = 0.0 μB per formula unit; space-group type = C2/m; calculated volume = 16.33 Å³ per atom
1.0
-1.265 3.211 3.269
-3.230 -5.746 0.820
5.612 -3.135 1.676
Pd Li Hg
3 7 1
Direct
0.000 0.228 0.772
0.500 0.000 0.000
0.000 0.772 0.228
0.673 0.394 0.950
0.177 0.167 0.167
0.000 0.500 0.500
0.823 0.833 0.833
0.673 0.950 0.394
0.327 0.606 0.050
0.327 0.050 0.606
0.500 0.500 0.500

Most stable structure, least stable structure: 1, 2.

1:
GGA-PBE LiHg2Pd5, optimized geometry; total magnetization = 0.0 μB per formula unit; space-group type = I4/mmm; calculated volume = 16.39 Å³ per atom
1.0
5.148 0.838 -2.260
-1.907 4.854 -2.261
-0.480 -0.842 5.601
Pd Hg Li
5 2 1
Direct
0.278 0.778 0.000
0.278 0.278 0.500
0.778 0.778 0.500
0.778 0.278 0.000
0.278 0.278 0.000
0.778 0.278 0.500
0.278 0.778 0.500
0.778 0.778 0.000

2:
GGA-PBE LiHg2Pd5, optimized geometry; total magnetization = 0.0 μB per formula unit; space-group type = Pbam; calculated volume = 16.37 Å³ per atom
1.0
4.064 0.000 0.000
0.000 5.675 0.000
0.000 0.000 11.355
Hg Pd Li
4 10 2
Direct
0.500 0.755 0.875
0.500 0.255 0.625
0.500 0.745 0.375
0.500 0.245 0.125
0.000 0.010 0.748
0.000 0.990 0.252
0.000 0.500 0.500
0.500 0.259 0.878
0.000 0.510 0.752
0.000 0.000 0.000
0.500 0.241 0.378
0.000 0.490 0.248
0.500 0.741 0.122
0.500 0.759 0.622
0.000 0.000 0.500
0.000 0.500 0.000

Most stable structure, least stable structure: 1, 2.